TePt | PBE | optimized geometry

CIF file:
```
data_TePt
_cell_length_a 6.501
_cell_length_b 6.501
_cell_length_c 5.900
_cell_angle_alpha 74.11
_cell_angle_beta 74.11
_cell_angle_gamma 34.28
_symmetry_space_group_name_H-M 'P 1'
_symmetry_Int_Tables_number 1
loop_
_symmetry_equiv_pos_as_xyz
'x,y,z'
loop_
_atom_site_label
_atom_site_type_symbol
_atom_site_fract_x
_atom_site_fract_y
_atom_site_fract_z
Pt1 Pt 0.294 0.294 0.491
Te1 Te 0.949 0.949 0.399
Pt2 Pt 0.652 0.652 0.783
Pt3 Pt 0.673 0.673 0.298
Te2 Te 0.001 0.001 0.865
Te3 Te 0.265 0.265 0.997
```

Summary:
- formation energy without anion corrections (kJ/mol of formula units) = -18
- volume (Å³ per atom) = 22.43
- SG = Cm, No. 8

***

LiCu | PBE | optimized geometry

CIF file:
```
data_LiCu
_cell_length_a 2.575
_cell_length_b 2.575
_cell_length_c 3.896
_cell_angle_alpha 90.00
_cell_angle_beta 90.00
_cell_angle_gamma 90.00
_symmetry_space_group_name_H-M 'P 1'
_symmetry_Int_Tables_number 1
loop_
_symmetry_equiv_pos_as_xyz
'x,y,z'
loop_
_atom_site_label
_atom_site_type_symbol
_atom_site_fract_x
_atom_site_fract_y
_atom_site_fract_z
Li1 Li 0.000 0.000 0.000
Cu1 Cu 0.500 0.500 0.500
```

Summary:
- volume (Å³ per atom) = 12.91
- ΔE_f (eV per atom) = -0.02
- SG = P4/mmm, No. 123

***

HoFeSi2 | PBE | optimized geometry

CIF file:
```
data_HoFeSi2
_cell_length_a 3.929
_cell_length_b 6.736
_cell_length_c 9.718
_cell_angle_alpha 90.00
_cell_angle_beta 90.00
_cell_angle_gamma 90.00
_symmetry_space_group_name_H-M 'P 1'
_symmetry_Int_Tables_number 1
loop_
_symmetry_equiv_pos_as_xyz
'x,y,z'
loop_
_atom_site_label
_atom_site_type_symbol
_atom_site_fract_x
_atom_site_fract_y
_atom_site_fract_z
Si1 Si 0.750 0.653 0.687
Fe1 Fe 0.250 0.515 0.110
Si2 Si 0.250 0.815 0.575
Si3 Si 0.750 0.185 0.425
Ho1 Ho 0.250 0.841 0.876
Si4 Si 0.250 0.315 0.925
Fe2 Fe 0.250 0.015 0.390
Si5 Si 0.250 0.347 0.313
Si6 Si 0.750 0.685 0.075
Fe3 Fe 0.750 0.485 0.890
Si7 Si 0.750 0.153 0.813
Ho2 Ho 0.750 0.659 0.376
Si8 Si 0.250 0.847 0.187
Ho3 Ho 0.250 0.341 0.624
Fe4 Fe 0.750 0.985 0.610
Ho4 Ho 0.750 0.159 0.124
```

Summary:
- formation energy without anion corrections (kJ/mol of formula units) = -268
- volume (Å³ per atom) = 16.08
- SG = Pnma, No. 62

***

Ca2TcBr | PBE | optimized geometry

CIF file:
```
data_Ca2TcBr
_cell_length_a 5.402
_cell_length_b 5.397
_cell_length_c 3.380
_cell_angle_alpha 90.00
_cell_angle_beta 90.00
_cell_angle_gamma 90.00
_symmetry_space_group_name_H-M 'P 1'
_symmetry_Int_Tables_number 1
loop_
_symmetry_equiv_pos_as_xyz
'x,y,z'
loop_
_atom_site_label
_atom_site_type_symbol
_atom_site_fract_x
_atom_site_fract_y
_atom_site_fract_z
Tc1 Tc 0.500 0.000 0.500
Ca1 Ca 0.000 0.000 0.000
Ca2 Ca 0.500 0.500 0.000
Br1 Br 0.000 0.500 0.500
```

Summary:
- formation energy without anion corrections (kJ/mol of formula units) = -17
- volume (Å³ per atom) = 24.63
- SG = P4/mmm, No. 123